1.
Below is a relaxed structure of La4InGaN, with properties calculated at the PBE level.

Values from the calculation:
Energy relative to the elements, uncorrected in eV per atom: -0.667
Calculated volume in Å³/cell: 414.3

abc: 7.0730 7.0975 8.9795
angles: 90.00 113.19 90.00
Fractional coordinates of all 14 atoms:
La 0.9312 0.2500 0.8624
La 0.4136 0.7500 0.8273
La 0.0688 0.7500 0.1376
La 0.5864 0.2500 0.1727
La 0.5000 0.5000 0.5000
La 0.0000 0.0000 0.5000
La 0.5000 0.0000 0.5000
La 0.0000 0.5000 0.5000
In 0.6124 0.7500 0.2248
In 0.3876 0.2500 0.7752
Ga 0.1187 0.2500 0.2375
Ga 0.8813 0.7500 0.7625
N 0.2666 0.7500 0.5332
N 0.7334 0.2500 0.4668

***

2.
Below is a relaxed structure of La3Nd3InGa2, with properties calculated at the PBE level.

Values from the calculation:
Formation energy from the elements in eV per formula unit: -3.2
Calculated volume in Å³/cell: 276.4

abc: 4.5723 8.3547 8.3547
angles: 120.00 90.00 90.00
Fractional coordinates of all 9 atoms:
La 0.5000 0.7189 0.0000
La 0.5000 0.0000 0.7189
La 0.5000 0.2811 0.2811
Nd 0.0000 0.5888 0.5888
Nd 0.0000 0.0000 0.4112
Nd 0.0000 0.4112 0.0000
In 0.0000 0.0000 0.0000
Ga 0.5000 0.6667 0.3333
Ga 0.5000 0.3333 0.6667

***

3.
Below is a relaxed structure of La2InGaNi6, with properties calculated at the PBE level.

Values from the calculation:
Formation energy from the elements in eV per formula unit: 1.3
Calculated volume in Å³/cell: 195.8

abc: 6.5174 6.5174 6.5174
angles: 60.00 60.00 90.00
Fractional coordinates of all 10 atoms:
La 0.2500 0.7500 0.5000
La 0.7500 0.2500 0.5000
In 0.0000 0.0000 0.0000
Ga 0.5000 0.5000 0.0000
Ni 0.2607 0.7393 0.0000
Ni 0.7393 0.7393 0.0000
Ni 0.2607 0.2607 0.4786
Ni 0.7393 0.2607 0.0000
Ni 0.2607 0.2607 0.0000
Ni 0.7393 0.7393 0.5214

***

4.
Below is a relaxed structure of La2InGa3Ni4, with properties calculated at the PBE level.

Values from the calculation:
Formation energy from the elements in eV per formula unit: -5.0
Calculated volume in Å³/cell: 185.0

abc: 4.3455 4.3455 9.7976
angles: 90.00 90.00 90.00
Fractional coordinates of all 10 atoms:
La 0.5000 0.0000 0.2355
La 0.0000 0.5000 0.7645
In 0.5000 0.5000 0.5000
Ga 0.0000 0.0000 0.5000
Ga 0.5000 0.0000 0.8882
Ga 0.0000 0.5000 0.1118
Ni 0.5000 0.5000 0.0000
Ni 0.0000 0.0000 0.0000
Ni 0.5000 0.0000 0.6432
Ni 0.0000 0.5000 0.3568

***

5.
Below is a relaxed structure of La2InGaNi, with properties calculated at the PBE level.

Values from the calculation:
Formation energy from the elements in eV per formula unit: -2.1
Calculated volume in Å³/cell: 135.6

abc: 5.4138 5.4138 4.6273
angles: 90.00 90.00 90.00
Fractional coordinates of all 5 atoms:
Ni 0.0000 0.0000 0.0000
In 0.5000 0.5000 0.5000
Ga 0.0000 0.0000 0.5000
La 0.0000 0.5000 0.0000
La 0.5000 0.0000 0.0000

***

6.
Below is a relaxed structure of LaIn2GaNi2, with properties calculated at the PBE level.

Values from the calculation:
Formation energy from the elements in eV per formula unit: -1.9
Calculated volume in Å³/cell: 124.5

abc: 4.5285 4.5285 6.0698
angles: 90.00 90.00 90.00
Fractional coordinates of all 6 atoms:
La 0.0000 0.0000 0.5000
In 0.5000 0.5000 0.7466
In 0.5000 0.5000 0.2534
Ga 0.0000 0.0000 0.0000
Ni 0.5000 0.0000 0.0000
Ni 0.0000 0.5000 0.0000

***

7.
Below is a relaxed structure of La4InGaO, with properties calculated at the PBE level.

Values from the calculation:
Energy relative to the elements, uncorrected in eV per atom: -1.093
Calculated volume in Å³/cell: 409.5

abc: 6.8621 6.8821 9.3249
angles: 90.00 111.59 90.00
Fractional coordinates of all 14 atoms:
La 0.9446 0.2500 0.8892
La 0.4205 0.7500 0.8410
La 0.0554 0.7500 0.1108
La 0.5795 0.2500 0.1590
La 0.5000 0.5000 0.5000
La 0.0000 0.0000 0.5000
La 0.5000 0.0000 0.5000
La 0.0000 0.5000 0.5000
In 0.6099 0.7500 0.2197
In 0.3901 0.2500 0.7803
Ga 0.1207 0.2500 0.2415
Ga 0.8793 0.7500 0.7585
O 0.2757 0.7500 0.5515
O 0.7243 0.2500 0.4485

***

8.
Below is a relaxed structure of LaInGaPb, with properties calculated at the PBE level.

Values from the calculation:
Formation energy from the elements in eV per formula unit: -1.8
Calculated volume in Å³/cell: 107.0

abc: 4.7248 4.5985 4.9232
angles: 90.00 90.00 90.00
Fractional coordinates of all 4 atoms:
La 0.5000 0.5000 0.0000
In 0.0000 0.5000 0.5000
Ga 0.0000 0.0000 0.0000
Pb 0.5000 0.0000 0.5000

***

Number 1: DOS at the Fermi energy 0.83 states/eV per atom. Number 2: DOS at the Fermi energy 0.87 states/eV per atom. Number 3: DOS at the Fermi energy 1.02 states/eV per atom. Number 4: DOS at the Fermi energy 0.96 states/eV per atom. Number 5: DOS at the Fermi energy 0.83 states/eV per atom. Number 6: DOS at the Fermi energy 0.70 states/eV per atom. Number 7: DOS at the Fermi energy 0.39 states/eV per atom. Number 8: DOS at the Fermi energy 0.49 states/eV per atom.